Here is CuAgSn2 after structural relaxation from Alexandria via LeMat-Bulk. Energies are from PBE-GGA.

a b c (Å): 3.3117 3.3117 9.6339
angles (deg): 80.10 80.10 60.00
Last column: nearest neighbours and their distance in Å.
Atoms (fractional coordinates):
Cu (0.5000, 0.5000, 0.5000)  6 Sn 2.74
Sn (0.0974, 0.0974, 0.7079)  3 Cu 2.74, 1 Ag 2.76
Sn (0.9026, 0.9026, 0.2921)  3 Cu 2.74, 1 Ag 2.76
Ag (0.0000, 0.0000, 0.0000)  2 Sn 2.76

Computed properties:
Calculated total energy = -3.565 eV/atom
ΔE_f = 0.173 eV/atom
Space group = R-3m (166)
E above lowest polymorph = 0.085 eV/atom
Volume = 22.421 Å³/atom